[1]
FeMo2W | PBE | optimized geometry

a = 2.593 Å, b = 4.380 Å, c = 5.388 Å
α = 90.00°, β = 90.00°, γ = 90.00°
Fractional positions:
Mo 0.000 0.000 0.992
Mo 0.000 0.000 0.508
Fe 0.500 0.500 0.750
W 0.500 0.500 0.250

Computed properties:
- Volume: 61.2 Å³/cell
- Total magnetization: 2.633 μB/f.u.
- DFT total energy: -41.9 eV for the cell shown
- DOS at the Fermi energy: 3.26 states/eV/cell
- Relative energy among the computed polymorphs: 94 kJ/mol of formula units
- Formation enthalpy at 0 K: 1.224 eV/f.u.



[2]
Fe2MoW | PBE | optimized geometry

a = 2.690 Å, b = 3.691 Å, c = 5.358 Å
α = 90.00°, β = 90.00°, γ = 90.00°
Fractional positions:
Mo 0.500 0.500 0.250
W 0.500 0.500 0.750
Fe 0.000 0.000 0.500
Fe 0.000 0.000 0.000

Computed properties:
- Volume: 53.2 Å³/cell
- Total magnetization: 1.340 μB/f.u.
- DFT total energy: -40.1 eV for the cell shown
- DOS at the Fermi energy: 3.91 states/eV/cell
- Formation enthalpy at 0 K: 0.659 eV/f.u.